a.
! YTa2Be, relaxed, DFT PBEsol; values from VASP
! - N(E_F): 0.76 states/eV per atom
! - Crystal system: tetragonal
&SYSTEM
  ibrav = 0, nat = 4, ntyp = 3
/
ATOMIC_SPECIES
Y 88.91 Y.upf
Be 9.01 Be.upf
Ta 180.95 Ta.upf
CELL_PARAMETERS angstrom
-0.459 -2.698 -2.980
-0.013 -2.999 2.716
-4.372 0.346 0.361
ATOMIC_POSITIONS crystal
Y 0.500 0.500 0.500
Be 0.000 0.000 0.500
Ta 0.000 0.500 0.000
Ta 0.500 0.000 0.000

***

b.
! YTa2Be, relaxed, DFT PBEsol; values from VASP
! - N(E_F): 0.96 states/eV per atom
! - Crystal system: monoclinic
&SYSTEM
  ibrav = 0, nat = 4, ntyp = 3
/
ATOMIC_SPECIES
Y 88.91 Y.upf
Be 9.01 Be.upf
Ta 180.95 Ta.upf
CELL_PARAMETERS angstrom
-1.272 -2.507 -0.989
3.153 -2.338 3.017
-4.270 2.664 2.653
ATOMIC_POSITIONS crystal
Y 0.500 0.000 0.000
Be 0.000 0.500 0.000
Ta 0.000 0.000 0.500
Ta 0.500 0.500 0.500

***

c.
! YTa2Be, relaxed, DFT PBEsol; values from VASP
! - N(E_F): 1.11 states/eV per atom
! - Crystal system: cubic
&SYSTEM
  ibrav = 0, nat = 4, ntyp = 3
/
ATOMIC_SPECIES
Y 88.91 Y.upf
Be 9.01 Be.upf
Ta 180.95 Ta.upf
CELL_PARAMETERS angstrom
-2.561 -1.779 3.461
-2.084 -4.132 -0.531
1.537 -3.705 2.368
ATOMIC_POSITIONS crystal
Y 0.250 0.250 0.250
Be 0.500 0.500 0.500
Ta 0.000 0.000 0.000
Ta 0.750 0.750 0.750

***

Best to worst by energy: c, a, b.

***

a.
! YTaBe, relaxed, DFT PBEsol; values from VASP
! - N(E_F): 0.77 states/eV per atom
! - Crystal system: cubic
&SYSTEM
  ibrav = 0, nat = 3, ntyp = 3
/
ATOMIC_SPECIES
Y 88.91 Y.upf
Be 9.01 Be.upf
Ta 180.95 Ta.upf
CELL_PARAMETERS angstrom
-2.909 3.093 1.454
-2.222 -0.642 3.846
0.985 2.489 3.603
ATOMIC_POSITIONS crystal
Y 0.000 0.000 0.000
Be 0.500 0.500 0.500
Ta 0.250 0.250 0.250

***

b.
! YTaBe, relaxed, DFT PBEsol; values from VASP
! - N(E_F): 0.70 states/eV per atom
! - Crystal system: trigonal
&SYSTEM
  ibrav = 0, nat = 3, ntyp = 3
/
ATOMIC_SPECIES
Y 88.91 Y.upf
Be 9.01 Be.upf
Ta 180.95 Ta.upf
CELL_PARAMETERS angstrom
3.147 0.000 0.000
-1.573 2.725 0.000
0.000 0.000 6.500
ATOMIC_POSITIONS crystal
Y 0.667 0.333 0.312
Be 0.000 0.000 0.979
Ta 0.333 0.667 0.709

***

Best to worst by energy: b, a.